Record 1
## NdCoGe3Ir (PBE)

Data for a relaxed structure of NdCoGe3Ir.

Calculated values
* ΔE_f: -0.33 eV per atom
* magnetization: 0.000 μB/f.u.
* electronic total energy: -0.4476 Ry/atom

```
NdCoGe3Ir
1.0
3.087 -6.842 0.000
3.087 6.842 0.000
0.000 0.000 5.907
Nd Co Ge Ir
2 2 6 2
Direct
0.183 0.817 0.750
0.817 0.183 0.250
0.411 0.589 0.250
0.589 0.411 0.750
0.252 0.748 0.250
0.276 0.276 0.000
0.276 0.276 0.500
0.724 0.724 0.000
0.724 0.724 0.500
0.748 0.252 0.750
0.081 0.919 0.250
0.919 0.081 0.750
```


Record 2
## Ba4CuBr2 (PBE)

Data for a relaxed structure of Ba4CuBr2.

Calculated values
* formation energy without anion corrections: -0.6121 eV per atom
* magnetization: 0.003 μB/f.u.
* electronic total energy: -0.2039 Ry/atom

```
Ba4CuBr2
1.0
-2.978 2.978 10.597
2.978 -2.978 10.597
2.978 2.978 -10.597
Ba Cu Br
4 1 2
Direct
0.000 0.500 0.500
0.164 0.164 0.000
0.500 0.000 0.500
0.836 0.836 0.000
0.000 0.000 0.000
0.316 0.316 0.000
0.684 0.684 0.000
```


Record 3
## Li4Ce3HoSe8 (PBE)

Data for a relaxed structure of Li4Ce3HoSe8.

Calculated values
* formation energy without anion corrections: -1.6175 eV per atom
* magnetization: 3.010 μB/f.u.
* electronic total energy: -0.3849 Ry/atom

```
Li4Ce3HoSe8
1.0
4.175 2.411 6.494
-4.175 2.411 6.494
0.000 -4.821 6.494
Li Ce Ho Se
4 3 1 8
Direct
0.000 0.000 0.000
0.000 0.500 0.500
0.500 0.000 0.500
0.500 0.500 0.000
0.000 0.000 0.500
0.000 0.500 0.000
0.500 0.000 0.000
0.500 0.500 0.500
0.252 0.252 0.740
0.252 0.740 0.252
0.254 0.254 0.254
0.260 0.748 0.748
0.740 0.252 0.252
0.746 0.746 0.746
0.748 0.260 0.748
0.748 0.748 0.260
```


Record 4
## Na3Li2Tl3 (PBE)

Data for a relaxed structure of Na3Li2Tl3.

Calculated values
* ΔE_f: -0.14 eV per atom
* magnetization: 0.000 μB/f.u.
* electronic total energy: -0.1470 Ry/atom

```
Na3Li2Tl3
1.0
8.234 0.000 0.000
-4.117 7.131 0.000
0.000 0.000 3.486
Na Li Tl
3 2 3
Direct
0.000 0.758 0.000
0.242 0.242 0.000
0.758 0.000 0.000
0.333 0.667 0.000
0.667 0.333 0.000
0.000 0.408 0.500
0.408 0.000 0.500
0.592 0.592 0.500
```


Number 4 is which compound? Na3Li2Tl3


Among the records above, which one has the highest magnetization? Li4Ce3HoSe8


Among the records above, which one has the highest electronic total energy? Na3Li2Tl3


The highest magnetization belongs to which entry? Li4Ce3HoSe8